Density functional theory data (PBE) for an optimized crystal structure of AlSb2TeO.

Results
mass density	6.032	g/cm3
crystal system	tetragonal
total moment	0.0	μB per cell
V	22.8	Å³ per atom
energy	-3.898	eV/atom

Structure (CIF):
```
data_AlSb2TeO
_chemical_formula_sum 'Al1 Sb2 Te1 O1'
_space_group_name_H-M_alt 'P 4/m m m'
_space_group_IT_number 123
_space_group_name_Hall '-P 4 2'
_cell_length_a 4.614
_cell_length_b 4.614
_cell_length_c 5.354
_cell_angle_alpha 90.00
_cell_angle_beta 90.00
_cell_angle_gamma 90.00
loop_
_atom_site_label
_atom_site_fract_x
_atom_site_fract_y
_atom_site_fract_z
Al1 0.000 0.000 0.000
Sb1 0.000 0.500 0.500
Te1 0.500 0.500 0.000
O1 0.500 0.500 0.500
```

=====

Density functional theory data (PBE) for an optimized crystal structure of TmAl2SbO8.

Results
mass density	5.427	g/cm3
crystal system	tetragonal
total moment	4.1	μB per cell
V	12.1	Å³ per atom
energy	-6.723	eV/atom

Structure (CIF):
```
data_TmAl2SbO8
_chemical_formula_sum 'Tm2 Al4 Sb2 O16'
_space_group_name_H-M_alt 'I -4 m 2'
_space_group_IT_number 119
_space_group_name_Hall 'I -4 -2'
_cell_length_a 6.705
_cell_length_b 6.705
_cell_length_c 6.434
_cell_angle_alpha 90.00
_cell_angle_beta 90.00
_cell_angle_gamma 90.00
loop_
_atom_site_label
_atom_site_fract_x
_atom_site_fract_y
_atom_site_fract_z
Tm1 0.000 0.000 0.000
Al1 0.000 0.000 0.500
Al2 0.000 0.500 0.250
Sb1 0.000 0.500 0.750
O1 0.000 0.199 0.684
O2 0.000 0.322 0.051
```